No. 1
Entry from the Alexandria database: a geometry-optimized CuOs3C structure (PBE-GGA).

## Properties
VASP energy (eV/cell): -43.6
ΔE to the lowest computed polymorph (meV/atom): 0.0
Total moment (μB per atom): 0.22
ΔE_f (meV/atom): 684

a b c (Å): 4.030 4.030 4.030
angles (deg): 90.00 90.00 90.00
Fractional coordinates of all 5 atoms:
Os 0.000 0.500 0.000
Os 0.000 0.000 0.500
Os 0.500 0.000 0.000
Cu 0.500 0.500 0.500
C 0.000 0.000 0.000

***

No. 2
Entry from the Alexandria database: a geometry-optimized CuOsC2 structure (PBE-GGA).

## Properties
VASP energy (eV/cell): -26.8
ΔE to the lowest computed polymorph (meV/atom): 830.4
Total moment (μB per atom): 0.00
ΔE_f (meV/atom): 1748

a b c (Å): 3.763 3.763 3.763
angles (deg): 60.00 60.00 60.00
Fractional coordinates of all 4 atoms:
Os 0.500 0.500 0.500
C 0.250 0.250 0.250
C 0.750 0.750 0.750
Cu 0.000 0.000 0.000

***

No. 3
Entry from the Alexandria database: a geometry-optimized RbCu2OsC structure (PBE-GGA).

## Properties
VASP energy (eV/cell): -12.4
Total moment (μB per atom): 0.41
ΔE_f (meV/atom): 3436

a b c (Å): 4.795 4.257 4.795
angles (deg): 90.00 90.00 90.00
Fractional coordinates of all 5 atoms:
C 0.000 0.500 0.000
Cu 0.500 0.000 0.000
Cu 0.000 0.000 0.500
Rb 0.000 0.000 0.000
Os 0.500 0.500 0.500

***

No. 4
Entry from the Alexandria database: a geometry-optimized CuOsRuC structure (PBE-GGA).

## Properties
VASP energy (eV/cell): -63.6
ΔE to the lowest computed polymorph (meV/atom): 75.6
Total moment (μB per atom): 0.00
ΔE_f (meV/atom): 506

a b c (Å): 2.767 3.693 9.517
angles (deg): 90.00 90.00 90.00
Fractional coordinates of all 8 atoms:
Os 0.000 0.000 0.289
Os 0.000 0.500 0.789
Ru 0.500 0.500 0.428
Ru 0.500 0.000 0.928
Cu 0.000 0.000 0.580
Cu 0.000 0.500 0.080
C 0.500 0.000 0.132
C 0.500 0.500 0.632

***

No. 5
Entry from the Alexandria database: a geometry-optimized CuOsRuC structure (PBE-GGA).

## Properties
VASP energy (eV/cell): -96.2
ΔE to the lowest computed polymorph (meV/atom): 6.5
Total moment (μB per atom): 0.00
ΔE_f (meV/atom): 437

a b c (Å): 2.762 2.762 21.389
angles (deg): 90.00 90.00 120.00
Fractional coordinates of all 12 atoms:
Ru 0.000 0.000 0.919
Ru 0.333 0.667 0.585
Ru 0.667 0.333 0.252
Cu 0.667 0.333 0.818
Cu 0.000 0.000 0.485
Cu 0.333 0.667 0.151
Os 0.000 0.000 0.050
Os 0.667 0.333 0.383
Os 0.333 0.667 0.717
C 0.333 0.667 0.317
C 0.667 0.333 0.983
C 0.000 0.000 0.650

***

No. 6
Entry from the Alexandria database: a geometry-optimized CuOsRuC structure (PBE-GGA).

## Properties
VASP energy (eV/cell): -63.2
ΔE to the lowest computed polymorph (meV/atom): 127.4
Total moment (μB per atom): 0.00
ΔE_f (meV/atom): 558

a b c (Å): 4.437 2.738 8.905
angles (deg): 90.00 119.41 90.00
Fractional coordinates of all 8 atoms:
Ru 0.805 0.500 0.355
Ru 0.805 0.000 0.855
Cu 0.103 0.000 0.662
Cu 0.103 0.500 0.162
Os 0.417 0.500 0.968
Os 0.417 0.000 0.468
C 0.698 0.500 0.658
C 0.698 0.000 0.158

***

No. 7
Entry from the Alexandria database: a geometry-optimized CuOsRuC structure (PBE-GGA).

## Properties
VASP energy (eV/cell): -31.5
ΔE to the lowest computed polymorph (meV/atom): 148.5
Total moment (μB per atom): 0.00
ΔE_f (meV/atom): 579

a b c (Å): 3.232 3.970 4.569
angles (deg): 66.23 71.56 79.82
Fractional coordinates of all 4 atoms:
Ru 0.635 0.917 0.935
C 0.422 0.407 0.069
Os 0.866 0.184 0.311
Cu 0.311 0.584 0.615

***

No. 8
Entry from the Alexandria database: a geometry-optimized CuOsRuC structure (PBE-GGA).

## Properties
VASP energy (eV/cell): -31.6
ΔE to the lowest computed polymorph (meV/atom): 123.1
Total moment (μB per atom): 0.00
ΔE_f (meV/atom): 554

a b c (Å): 2.853 3.728 4.953
angles (deg): 70.76 78.96 83.28
Fractional coordinates of all 4 atoms:
Cu 0.749 0.794 0.657
C 0.872 0.625 0.085
Ru 0.111 0.145 0.970
Os 0.319 0.413 0.380

***

No. 9
Entry from the Alexandria database: a geometry-optimized CuOsRuC structure (PBE-GGA).

## Properties
VASP energy (eV/cell): -63.6
ΔE to the lowest computed polymorph (meV/atom): 73.2
Total moment (μB per atom): 0.00
ΔE_f (meV/atom): 504

a b c (Å): 2.757 4.049 8.924
angles (deg): 90.00 89.99 90.00
Fractional coordinates of all 8 atoms:
C 0.912 0.500 0.111
C 0.912 0.000 0.611
Ru 0.913 0.500 0.329
Ru 0.913 0.000 0.829
Cu 0.906 0.000 0.139
Cu 0.906 0.500 0.639
Os 0.412 0.500 0.943
Os 0.412 0.000 0.443

***

No. 10
Entry from the Alexandria database: a geometry-optimized CuOsRuC structure (PBE-GGA).

## Properties
VASP energy (eV/cell): -32.1
ΔE to the lowest computed polymorph (meV/atom): 0.0
Total moment (μB per atom): 0.00
ΔE_f (meV/atom): 430

a b c (Å): 2.770 2.770 7.099
angles (deg): 90.00 90.00 120.00
Fractional coordinates of all 4 atoms:
Ru 0.333 0.667 0.176
Cu 0.667 0.333 0.479
Os 0.333 0.667 0.783
C 0.667 0.333 0.980

***

No. 11
Entry from the Alexandria database: a geometry-optimized CuOsRuC structure (PBE-GGA).

## Properties
VASP energy (eV/cell): -63.5
ΔE to the lowest computed polymorph (meV/atom): 89.5
Total moment (μB per atom): 0.00
ΔE_f (meV/atom): 520

a b c (Å): 4.003 2.730 8.727
angles (deg): 90.00 90.00 90.00
Fractional coordinates of all 8 atoms:
Ru 0.000 0.000 0.968
Ru 0.500 0.500 0.468
C 0.500 0.000 0.651
C 0.000 0.500 0.151
Cu 0.000 0.000 0.646
Cu 0.500 0.500 0.146
Os 0.000 0.000 0.326
Os 0.500 0.500 0.826

***

No. 12
Entry from the Alexandria database: a geometry-optimized CuOsRuC structure (PBE-GGA).

## Properties
VASP energy (eV/cell): -63.3
ΔE to the lowest computed polymorph (meV/atom): 116.7
Total moment (μB per atom): 0.00
ΔE_f (meV/atom): 547

a b c (Å): 5.110 2.775 7.879
angles (deg): 90.00 114.75 90.00
Fractional coordinates of all 8 atoms:
Ru 0.140 0.000 0.989
Ru 0.140 0.500 0.489
C 0.560 0.000 0.094
C 0.560 0.500 0.594
Cu 0.495 0.000 0.810
Cu 0.495 0.500 0.310
Os 0.875 0.000 0.652
Os 0.875 0.500 0.152

***

No. 13
Entry from the Alexandria database: a geometry-optimized CuOsRuC structure (PBE-GGA).

## Properties
VASP energy (eV/cell): -63.5
ΔE to the lowest computed polymorph (meV/atom): 84.2
Total moment (μB per atom): 0.00
ΔE_f (meV/atom): 515

a b c (Å): 2.744 3.701 9.576
angles (deg): 90.00 90.00 90.00
Fractional coordinates of all 8 atoms:
C 0.000 0.000 0.763
C 0.000 0.500 0.263
Cu 0.500 0.000 0.217
Cu 0.500 0.500 0.717
Os 0.000 0.500 0.063
Os 0.000 0.000 0.563
Ru 0.500 0.000 0.922
Ru 0.500 0.500 0.422

***

No. 14
Entry from the Alexandria database: a geometry-optimized CuOsRuC structure (PBE-GGA).

## Properties
VASP energy (eV/cell): -63.5
ΔE to the lowest computed polymorph (meV/atom): 94.2
Total moment (μB per atom): 0.00
ΔE_f (meV/atom): 525

a b c (Å): 2.737 3.960 9.238
angles (deg): 90.00 90.00 90.00
Fractional coordinates of all 8 atoms:
Ru 0.500 0.000 0.921
Ru 0.500 0.500 0.421
Cu 0.000 0.000 0.243
Cu 0.000 0.500 0.743
Os 0.000 0.000 0.547
Os 0.000 0.500 0.047
C 0.000 0.000 0.753
C 0.000 0.500 0.253

***

No. 15
Entry from the Alexandria database: a geometry-optimized CuOsRuC structure (PBE-GGA).

## Properties
VASP energy (eV/cell): -63.9
ΔE to the lowest computed polymorph (meV/atom): 44.6
Total moment (μB per atom): 0.00
ΔE_f (meV/atom): 475

a b c (Å): 2.787 2.751 12.279
angles (deg): 90.00 90.00 90.00
Fractional coordinates of all 8 atoms:
C 0.000 0.500 0.312
C 0.000 0.000 0.812
Cu 0.000 0.500 0.084
Cu 0.000 0.000 0.584
Ru 0.500 0.000 0.242
Ru 0.500 0.500 0.742
Os 0.500 0.500 0.438
Os 0.500 0.000 0.938

***

No. 16
Entry from the Alexandria database: a geometry-optimized Sc2CuOsC structure (PBE-GGA).

## Properties
VASP energy (eV/cell): -38.9
Total moment (μB per atom): 0.00
ΔE_f (meV/atom): -342

a b c (Å): 4.524 4.524 3.869
angles (deg): 90.00 90.00 90.00
Fractional coordinates of all 5 atoms:
Sc 0.000 0.500 0.000
Sc 0.500 0.000 0.000
C 0.000 0.000 0.000
Cu 0.500 0.500 0.500
Os 0.000 0.000 0.500

***

No. 17
Entry from the Alexandria database: a geometry-optimized Sr2CuOsC structure (PBE-GGA).

## Properties
VASP energy (eV/cell): -26.9
Total moment (μB per atom): 0.00
ΔE_f (meV/atom): 211

a b c (Å): 5.460 5.460 3.891
angles (deg): 90.00 90.00 90.00
Fractional coordinates of all 5 atoms:
Cu 0.500 0.500 0.500
Sr 0.500 0.000 0.000
Sr 0.000 0.500 0.000
Os 0.000 0.000 0.500
C 0.000 0.000 0.000

***

No. 18
Entry from the Alexandria database: a geometry-optimized Ta2CuOsC structure (PBE-GGA).

## Properties
VASP energy (eV/cell): -36.4
Total moment (μB per atom): 0.00
ΔE_f (meV/atom): 2375

a b c (Å): 4.774 4.607 4.774
angles (deg): 90.00 90.00 90.00
Fractional coordinates of all 5 atoms:
C 0.500 0.500 0.500
Os 0.000 0.000 0.000
Ta 0.000 0.000 0.500
Ta 0.500 0.000 0.000
Cu 0.000 0.500 0.000

***

No. 19
Entry from the Alexandria database: a geometry-optimized CuTe2OsC structure (PBE-GGA).

## Properties
VASP energy (eV/cell): -18.3
Total moment (μB per atom): 0.12
Formation energy without anion corrections (eV per atom): 2.515

a b c (Å): 4.948 4.600 4.948
angles (deg): 90.00 90.00 90.00
Fractional coordinates of all 5 atoms:
Cu 0.000 0.000 0.000
Os 0.000 0.500 0.000
C 0.500 0.500 0.500
Te 0.500 0.000 0.000
Te 0.000 0.000 0.500

***

No. 20
Entry from the Alexandria database: a geometry-optimized CuTeOsC2 structure (PBE-GGA).

## Properties
VASP energy (eV/cell): -25.6
Total moment (μB per atom): 0.00
Formation energy without anion corrections (eV per atom): 2.262

a b c (Å): 3.784 5.215 3.784
angles (deg): 90.00 90.00 90.00
Fractional coordinates of all 5 atoms:
Cu 0.000 0.000 0.000
C 0.500 0.000 0.000
C 0.000 0.000 0.500
Os 0.000 0.500 0.000
Te 0.500 0.500 0.500